# MnAuSe2 | Alexandria | PBE-GGA | relaxed
data_MnAuSe2
_space_group_name_H-M_alt 'F -4 3 m'
_space_group_IT_number 216
_space_group_name_Hall 'F -4 2 3'
_cell_length_a 6.736
_cell_length_b 6.736
_cell_length_c 6.736
_cell_angle_alpha 90.00
_cell_angle_beta 90.00
_cell_angle_gamma 90.00
loop_
_atom_site_label
_atom_site_type_symbol
_atom_site_fract_x
_atom_site_fract_y
_atom_site_fract_z
_atom_site_occupancy
Mn1 Mn 0.000 0.000 0.000 1
Au1 Au 0.250 0.250 0.250 1
Se1 Se 0.000 0.000 0.500 1
Se2 Se 0.250 0.250 0.750 1
# DOS(E_F) ... 0.66 states/eV per atom
# Raw formation energy ... 1.4 eV per formula unit